No. 1
## Ti9NbZn2 (GGA-PBE)

Data for a geometry-optimized Ti9NbZn2 structure.

POSCAR file:
```
Ti9NbZn2
1.0
-3.7519 1.4820 0.0095
-1.4301 -3.6271 1.0355
1.1867 2.9280 11.8944
Ti Zn Nb
9 2 1
Cartesian
-0.5107 -1.3094 2.5656 Ti
-1.8077 0.8601 8.3736 Ti
0.2674 0.6103 10.3643 Ti
-1.2826 2.2050 5.9519 Ti
-1.6716 1.2451 2.0526 Ti
-0.8935 3.1649 9.8513 Ti
-2.5910 -1.0725 0.5225 Ti
-0.1217 -0.3495 6.4650 Ti
-2.1876 -0.0772 4.5659 Ti
0.4006 0.9883 4.0146 Zn
0.7862 1.9397 7.8797 Zn
0.0000 0.0000 0.0000 Nb
```

Properties
ΔE_f: -0.0395 eV per atom
SG: P4/mmm, No. 123
Crystal system: tetragonal



No. 2
## CdPBr3 (GGA-PBE)

Data for a geometry-optimized CdPBr3 structure.

POSCAR file:
```
CdPBr3
1.0
-4.5773 -1.0709 -2.1988
2.4455 -1.9345 -4.1485
0.0365 -4.6951 2.2109
Br P Cd
3 1 1
Cartesian
-2.2886 -0.5355 -1.0994 Br
0.0182 -2.3475 1.1054 Br
1.2227 -0.9673 -2.0743 Br
0.0000 0.0000 0.0000 P
-1.0477 -3.8503 -2.0682 Cd
```

Properties
E above lowest polymorph: 0 meV per atom
Formation energy without anion corrections: 0.0 eV/f.u.
SG: Pm-3m, No. 221
Crystal system: cubic



No. 3
## OsRu (GGA-PBE)

Data for a geometry-optimized OsRu structure.

POSCAR file:
```
OsRu
1.0
2.7198 0.0000 0.0000
0.0000 2.7198 0.0000
0.0000 0.0000 7.6529
Ru Os
2 2
Cartesian
2.0398 2.0398 2.8674 Ru
0.6799 0.6799 4.7854 Ru
0.6799 0.6799 0.9579 Os
2.0398 2.0398 6.6950 Os
```

Properties
ΔE_f: 0.1243 eV per atom
SG: P4/nmm, No. 129
Crystal system: tetragonal



No. 4
## Zn6Cu3Pt2 (GGA-PBE)

Data for a geometry-optimized Zn6Cu3Pt2 structure.

POSCAR file:
```
Zn6Cu3Pt2
1.0
-2.2478 2.8169 -2.8805
-5.9562 -1.3133 0.7123
1.0810 5.1875 2.9309
Cu Zn Pt
3 6 2
Cartesian
-5.8469 1.7991 -0.2102 Cu
-1.9933 1.5428 -0.9803 Cu
-5.2354 3.3737 2.0065 Cu
-1.4232 5.2154 -0.1664 Zn
-3.0882 5.0480 1.9893 Zn
-3.6746 3.4748 -0.1451 Zn
-5.7769 -0.3278 1.2247 Zn
-5.3173 5.5733 0.5753 Zn
-4.1869 2.1522 -2.3688 Zn
-3.6196 1.2570 1.2530 Pt
-1.4084 3.0333 1.3472 Pt
```

Properties
ΔE_f: -0.2444 eV per atom
SG: P1, No. 1
Crystal system: triclinic



No. 5
## SrV2MoSe (GGA-PBE)

Data for a geometry-optimized SrV2MoSe structure.

POSCAR file:
```
SrV2MoSe
1.0
4.6577 0.0000 0.0000
0.0000 4.8439 0.0000
0.0000 0.0000 4.6577
Se V Sr Mo
1 2 1 1
Cartesian
2.3289 2.4219 2.3289 Se
0.0000 0.0000 2.3289 V
2.3289 0.0000 0.0000 V
0.0000 0.0000 0.0000 Sr
0.0000 2.4219 0.0000 Mo
```

Properties
Formation energy without anion corrections: 13.2 eV/f.u.
SG: P4/mmm, No. 123
Crystal system: tetragonal



No. 6
## NaLi2Y2 (GGA-PBE)

Data for a geometry-optimized NaLi2Y2 structure.

POSCAR file:
```
NaLi2Y2
1.0
-7.9797 4.6762 -1.1165
-4.7669 -7.4149 3.0140
0.2253 1.1378 3.1554
Li Na Y
4 2 4
Cartesian
-9.1773 -2.5011 3.3480 Li
-3.3440 0.9002 1.7051 Li
-8.1349 1.9922 1.6533 Li
-4.3864 -3.5931 3.3997 Li
-6.3733 -1.3693 0.9488 Na
0.0000 0.0000 0.0000 Na
-2.7936 -2.1638 0.9797 Y
-9.9530 -0.5749 0.9179 Y
-5.6171 1.9885 -0.3160 Y
-7.1294 -4.7271 2.2135 Y
```

Properties
E above lowest polymorph: 34 meV per atom
ΔE_f: 0.3188 eV per atom
SG: P4/mbm, No. 127
Crystal system: tetragonal



No. 7
## Tb4PmOs2 (GGA-PBE)

Data for a geometry-optimized Tb4PmOs2 structure.

POSCAR file:
```
Tb4PmOs2
1.0
6.3970 0.0000 0.0000
0.0000 7.4069 -2.9964
0.0000 -0.0523 7.8271
Tb Os Pm
8 4 2
Cartesian
3.1918 4.2948 0.1505 Tb
4.7977 5.5073 3.0416 Tb
1.5992 1.8472 1.7890 Tb
6.3903 3.0597 4.6802 Tb
3.2051 3.0597 4.6802 Tb
4.7977 0.1271 2.9144 Tb
0.0067 4.2948 0.1505 Tb
1.5992 7.2275 1.9163 Tb
1.5992 1.8715 6.8588 Os
1.5992 4.6010 2.7158 Os
4.7977 5.4831 -2.0281 Os
4.7977 2.7536 2.1149 Os
4.7977 1.1848 -0.2921 Pm
1.5992 6.1697 5.1228 Pm
```

Properties
ΔE_f: -0.1359 eV per atom
SG: P2_1/m, No. 11
Crystal system: monoclinic



No. 8
## Ba2LiAsI (GGA-PBE)

Data for a geometry-optimized Ba2LiAsI structure.

POSCAR file:
```
Ba2LiAsI
1.0
-5.8885 1.1640 2.4083
-1.6354 -6.1746 -1.0143
1.5657 -1.1335 4.3761
Ba Li As I
2 1 1 1
Cartesian
-2.9443 0.5820 1.2041 Ba
-0.8177 -3.0873 -0.5071 Ba
0.7828 -0.5668 2.1881 Li
0.0000 0.0000 0.0000 As
-2.9791 -3.0721 2.8851 I
```

Properties
Formation energy without anion corrections: -4.8 eV/f.u.
SG: P4/mmm, No. 123
Crystal system: tetragonal